VASP calculation (PBE) on a relaxed structure of SnH2Cl.

abc: 4.279 4.279 4.279
angles: 60.00 60.00 60.00
Fractional coordinates of all 4 atoms:
1 H 0.250 0.250 0.250
2 H 0.750 0.750 0.750
3 Sn 0.500 0.500 0.500
4 Cl 0.000 0.000 0.000

Calculated values
- Energy above the lowest structure with this stoichiometry: 616.4 meV/atom
- Space group: No. 225
- Electronic total energy: -2.583 eV/atom